(1)
Compound: TlIrW2
Source: Alexandria
Functional: GGA-PBEsol
Structure: optimized geometry

a b c (Å): 4.910 4.910 4.910
angles (deg): 131.29 131.29 71.36
Atoms (fractional coordinates):
Tl (0.000, 0.000, 0.000)
Ir (0.250, 0.750, 0.500)
W (0.500, 0.500, 0.000)
W (0.750, 0.250, 0.500)

Results
For the energy of formation, the calculation gives 620.1 meV per atom. As for the total magnetic moment: 0.00 μB per formula unit. For the energy relative to the lowest polymorph listed for this composition, the calculation gives 0.225 eV/atom. Its crystal system is tetragonal.

---

(2)
Compound: YTlIr
Source: Alexandria
Functional: GGA-PBEsol
Structure: optimized geometry

a b c (Å): 4.112 4.112 4.957
angles (deg): 90.00 90.00 120.00
Atoms (fractional coordinates):
Y (0.000, 0.000, 0.000)
Tl (0.667, 0.333, 0.451)
Ir (0.333, 0.667, 0.708)

Results
For the energy of formation, the calculation gives -137.6 meV per atom. As for the total magnetic moment: 0.00 μB per formula unit. Its crystal system is trigonal.

---

(3)
Compound: TlZn2Ir
Source: Alexandria
Functional: GGA-PBEsol
Structure: optimized geometry

a b c (Å): 4.494 4.494 4.494
angles (deg): 60.00 60.00 60.00
Atoms (fractional coordinates):
Tl (0.000, 0.000, 0.000)
Zn (0.250, 0.250, 0.250)
Zn (0.500, 0.500, 0.500)
Ir (0.750, 0.750, 0.750)

Results
For the energy of formation, the calculation gives 307.3 meV per atom. As for the total magnetic moment: 0.00 μB per formula unit. For the energy relative to the lowest polymorph listed for this composition, the calculation gives 0.261 eV/atom. Its crystal system is cubic.

---

(4)
Compound: TlZnIr
Source: Alexandria
Functional: GGA-PBEsol
Structure: optimized geometry

a b c (Å): 4.259 4.259 4.259
angles (deg): 60.00 60.00 60.00
Atoms (fractional coordinates):
Tl (0.000, 0.000, 0.000)
Zn (0.750, 0.750, 0.750)
Ir (0.500, 0.500, 0.500)

Results
For the energy of formation, the calculation gives 470.0 meV per atom. As for the total magnetic moment: 0.00 μB per formula unit. Its crystal system is cubic.

---

(5)
Compound: TlZn2Ir
Source: Alexandria
Functional: GGA-PBEsol
Structure: optimized geometry

a b c (Å): 3.038 3.038 7.536
angles (deg): 90.00 90.00 90.00
Atoms (fractional coordinates):
Tl (0.000, 0.000, 0.000)
Zn (0.500, 0.500, 0.312)
Zn (0.500, 0.500, 0.688)
Ir (0.000, 0.000, 0.500)

Results
For the energy of formation, the calculation gives 46.4 meV per atom. As for the total magnetic moment: 0.00 μB per formula unit. For the energy relative to the lowest polymorph listed for this composition, the calculation gives 0.000 eV/atom. Its crystal system is tetragonal.

---

(6)
Compound: TlZnIr2
Source: Alexandria
Functional: GGA-PBEsol
Structure: optimized geometry

a b c (Å): 2.919 4.479 4.873
angles (deg): 90.00 90.00 90.00
Atoms (fractional coordinates):
Tl (0.000, 0.000, 0.000)
Zn (0.500, 0.000, 0.500)
Ir (0.000, 0.500, 0.500)
Ir (0.500, 0.500, 0.000)

Results
For the energy of formation, the calculation gives 384.1 meV per atom. As for the total magnetic moment: 0.00 μB per formula unit. Its crystal system is orthorhombic.

---

(7)
Compound: Zr2TlIr
Source: Alexandria
Functional: GGA-PBEsol
Structure: optimized geometry

a b c (Å): 8.362 8.362 8.362
angles (deg): 24.46 24.46 24.46
Atoms (fractional coordinates):
Zr (0.234, 0.234, 0.234)
Zr (0.766, 0.766, 0.766)
Tl (0.000, 0.000, 0.000)
Ir (0.500, 0.500, 0.500)

Results
For the energy of formation, the calculation gives -278.2 meV per atom. As for the total magnetic moment: 0.00 μB per formula unit. For the energy relative to the lowest polymorph listed for this composition, the calculation gives 0.207 eV/atom. Its crystal system is trigonal.

---

(8)
Compound: ZrTlIr
Source: Alexandria
Functional: GGA-PBEsol
Structure: optimized geometry

a b c (Å): 5.272 5.272 5.272
angles (deg): 141.09 141.09 56.19
Atoms (fractional coordinates):
Zr (0.000, 0.000, 0.000)
Tl (0.312, 0.312, 0.000)
Ir (0.635, 0.635, 0.000)

Results
For the energy of formation, the calculation gives -222.7 meV per atom. As for the total magnetic moment: 0.00 μB per formula unit. Its crystal system is tetragonal.